(1)
The following is a PBE-GGA calculation of NiB3Br after structural relaxation, from Alexandria.

Lattice parameters (Å, degrees): 3.990 3.990 3.990 90.00 90.00 90.00
Sites, in units of the cell vectors:
Ni (0.000, 0.000, 0.000)
B (0.000, 0.000, 0.500)
B (0.000, 0.500, 0.000)
B (0.500, 0.000, 0.000)
Br (0.500, 0.500, 0.500)

Summary:
The space group is Pm-3m. As for the crystal system: cubic. For the total energy, the calculation gives -4.325 eV/atom. The calculation puts the density of states at the Fermi level at 0.0000 states/eV/atom. The calculation puts the raw formation energy at 1.172 eV per atom. The density comes out at 4.47 g cm⁻³.

(2)
The following is a PBE-GGA calculation of NiB2Br2 after structural relaxation, from Alexandria.

Lattice parameters (Å, degrees): 4.901 4.901 6.043 90.00 90.00 90.00
Sites, in units of the cell vectors:
Ni (0.000, 0.000, 0.000)
Ni (0.500, 0.500, 0.500)
B (0.000, 0.000, 0.356)
B (0.000, 0.000, 0.644)
B (0.500, 0.500, 0.144)
B (0.500, 0.500, 0.856)
Br (0.000, 0.500, 0.250)
Br (0.000, 0.500, 0.750)
Br (0.500, 0.000, 0.250)
Br (0.500, 0.000, 0.750)

Summary:
The space group is I4/mmm. As for the crystal system: tetragonal. For the total energy, the calculation gives -3.413 eV/atom. The calculation puts the density of states at the Fermi level at 0.7782 states/eV/atom. The calculation puts the raw formation energy at 1.083 eV per atom. The density comes out at 5.49 g cm⁻³.

(3)
The following is a PBE-GGA calculation of NiB2Br after structural relaxation, from Alexandria.

Lattice parameters (Å, degrees): 4.941 4.941 9.942 90.00 90.00 90.00
Sites, in units of the cell vectors:
Ni (0.000, 0.000, 0.000)
Ni (0.000, 0.500, 0.250)
Ni (0.500, 0.000, 0.750)
Ni (0.500, 0.500, 0.500)
B (0.155, 0.250, 0.125)
B (0.250, 0.655, 0.375)
B (0.250, 0.845, 0.875)
B (0.345, 0.250, 0.625)
B (0.655, 0.750, 0.625)
B (0.750, 0.155, 0.875)
B (0.750, 0.345, 0.375)
B (0.845, 0.750, 0.125)
Br (0.000, 0.000, 0.500)
Br (0.000, 0.500, 0.750)
Br (0.500, 0.000, 0.250)
Br (0.500, 0.500, 0.000)

Summary:
The space group is I-42d. As for the crystal system: tetragonal. For the total energy, the calculation gives -4.224 eV/atom. The calculation puts the density of states at the Fermi level at 0.4997 states/eV/atom. The calculation puts the raw formation energy at 0.979 eV per atom. The density comes out at 4.39 g cm⁻³.

(4)
The following is a PBE-GGA calculation of Ni3BBr after structural relaxation, from Alexandria.

Lattice parameters (Å, degrees): 3.960 3.960 3.960 90.00 90.00 90.00
Sites, in units of the cell vectors:
Ni (0.000, 0.000, 0.500)
Ni (0.000, 0.500, 0.000)
Ni (0.500, 0.000, 0.000)
B (0.000, 0.000, 0.000)
Br (0.500, 0.500, 0.500)

Summary:
The space group is Pm-3m. As for the crystal system: cubic. For the total energy, the calculation gives -4.829 eV/atom. The calculation puts the density of states at the Fermi level at 0.3180 states/eV/atom. The calculation puts the raw formation energy at 0.310 eV per atom. The density comes out at 7.13 g cm⁻³.

(5)
The following is a PBE-GGA calculation of NiB2Br after structural relaxation, from Alexandria.

Lattice parameters (Å, degrees): 5.728 5.728 5.728 90.00 90.00 90.00
Sites, in units of the cell vectors:
Ni (0.000, 0.000, 0.000)
Ni (0.000, 0.500, 0.500)
Ni (0.500, 0.000, 0.500)
Ni (0.500, 0.500, 0.000)
B (0.250, 0.250, 0.250)
B (0.250, 0.250, 0.750)
B (0.250, 0.750, 0.250)
B (0.250, 0.750, 0.750)
B (0.750, 0.250, 0.250)
B (0.750, 0.250, 0.750)
B (0.750, 0.750, 0.250)
B (0.750, 0.750, 0.750)
Br (0.000, 0.000, 0.500)
Br (0.000, 0.500, 0.000)
Br (0.500, 0.000, 0.000)
Br (0.500, 0.500, 0.500)

Summary:
The space group is Fm-3m. As for the crystal system: cubic. For the total energy, the calculation gives -3.179 eV/atom. The calculation puts the density of states at the Fermi level at 0.7378 states/eV/atom. The calculation puts the raw formation energy at 2.024 eV per atom. The density comes out at 5.66 g cm⁻³.

(6)
The following is a PBE-GGA calculation of Ni3BBr after structural relaxation, from Alexandria.

Lattice parameters (Å, degrees): 4.343 4.343 4.343 90.00 90.00 90.00
Sites, in units of the cell vectors:
Ni (0.000, 0.000, 0.500)
Ni (0.000, 0.500, 0.000)
Ni (0.500, 0.000, 0.000)
B (0.500, 0.500, 0.500)
Br (0.000, 0.000, 0.000)

Summary:
The space group is Pm-3m. As for the crystal system: cubic. For the total energy, the calculation gives -3.545 eV/atom. The calculation puts the density of states at the Fermi level at 0.0794 states/eV/atom. The calculation puts the raw formation energy at 1.594 eV per atom. The density comes out at 5.41 g cm⁻³.

(7)
The following is a PBE-GGA calculation of NiB3Br after structural relaxation, from Alexandria.

Lattice parameters (Å, degrees): 4.053 4.053 4.053 90.00 90.00 90.00
Sites, in units of the cell vectors:
Ni (0.000, 0.000, 0.000)
B (0.000, 0.500, 0.500)
B (0.500, 0.000, 0.500)
B (0.500, 0.500, 0.000)
Br (0.500, 0.500, 0.500)

Summary:
The space group is Pm-3m. As for the crystal system: cubic. For the total energy, the calculation gives -2.793 eV/atom. The calculation puts the density of states at the Fermi level at 0.5262 states/eV/atom. The calculation puts the raw formation energy at 2.704 eV per atom. The density comes out at 4.27 g cm⁻³.

(8)
The following is a PBE-GGA calculation of NiB2Br2 after structural relaxation, from Alexandria.

Lattice parameters (Å, degrees): 7.153 7.153 3.146 90.00 90.00 90.00
Sites, in units of the cell vectors:
Ni (0.000, 0.000, 0.000)
Ni (0.500, 0.500, 0.000)
B (0.198, 0.302, 0.500)
B (0.302, 0.802, 0.500)
B (0.698, 0.198, 0.500)
B (0.802, 0.698, 0.500)
Br (0.163, 0.663, 0.000)
Br (0.337, 0.163, 0.000)
Br (0.663, 0.837, 0.000)
Br (0.837, 0.337, 0.000)

Summary:
The space group is P4/mbm. As for the crystal system: tetragonal. For the total energy, the calculation gives -2.875 eV/atom. The calculation puts the density of states at the Fermi level at 0.4142 states/eV/atom. The calculation puts the raw formation energy at 1.621 eV per atom. The density comes out at 4.95 g cm⁻³.